RbSc3W after structural relaxation. Source: the Alexandria database, functional GGA-PBE.

Relative energy among the computed polymorphs ... 1.345 eV per atom
DFT total energy ... -4.53 eV/atom
Spin magnetization ... 0.0 μB/f.u.
Formation energy ... 2.0560 eV/atom
Volume ... 22.9 Å³ per atom

Cell and atoms, written as extended XYZ:
```
5
Lattice="4.8567 0.0000 0.0000 0.0000 4.8567 0.0000 0.0000 0.0000 4.8567" Properties=species:S:1:pos:R:3 pbc="T T T"
Rb 0.0000 0.0000 0.0000
Sc 0.0000 0.0000 2.4284
Sc 0.0000 2.4284 0.0000
Sc 2.4284 0.0000 0.0000
W 2.4284 2.4284 2.4284
```